(A)
A relaxed structure of BaTi2Fe. Source: Alexandria via LeMat-Bulk, functional PBE.

```
8
Lattice="-3.306 3.306 5.474 3.306 -3.306 5.474 3.306 3.306 -5.474" Properties=species:S:1:pos:R:3 pbc="T T T"
Ba 3.306 1.653 1.368
Ba 0.000 1.653 4.105
Ti 0.000 0.000 0.000
Ti 1.653 1.653 -2.737
Ti 1.653 -1.653 2.737
Ti 0.000 3.306 0.000
Fe 3.306 -1.653 4.105
Fe 0.000 4.959 1.368
```

Results
Crystal system ... tetragonal
M_tot ... 0.25 μB/atom
Space group ... I4_1/amd (141)

(B)
A relaxed structure of BaTi2Fe. Source: Alexandria via LeMat-Bulk, functional PBE.

```
4
Lattice="0.000 3.347 3.347 3.347 0.000 3.347 3.347 3.347 0.000" Properties=species:S:1:pos:R:3 pbc="T T T"
Ba 0.000 0.000 0.000
Ti 1.674 1.674 1.674
Ti 5.021 5.021 5.021
Fe 3.347 3.347 3.347
```

Results
Crystal system ... cubic
M_tot ... 0.00 μB/atom
Space group ... Fm-3m (225)

The data favor (A); the next most stable structure lies 108 meV/atom above it.

(A)
A relaxed structure of Ba2TiFe. Source: Alexandria via LeMat-Bulk, functional PBE.

```
8
Lattice="-6.179 6.179 2.191 6.179 -6.179 2.191 6.179 6.179 -2.191" Properties=species:S:1:pos:R:3 pbc="T T T"
Ba 0.835 3.090 0.548
Ba -3.090 5.344 1.643
Ba -0.835 9.269 0.548
Ba 3.090 7.014 1.643
Ti 6.179 0.000 1.096
Ti 0.000 0.000 2.191
Fe 0.000 0.000 0.000
Fe 0.000 6.179 1.096
```

Results
Crystal system ... tetragonal
M_tot ... 0.01 μB/atom
Space group ... I-42d (122)

(B)
A relaxed structure of Ba2TiFe. Source: Alexandria via LeMat-Bulk, functional PBE.

```
4
Lattice="0.000 3.837 3.837 3.837 0.000 3.837 3.837 3.837 0.000" Properties=species:S:1:pos:R:3 pbc="T T T"
Ba 1.919 1.919 1.919
Ba 5.756 5.756 5.756
Ti 0.000 0.000 0.000
Fe 3.837 3.837 3.837
```

Results
Crystal system ... cubic
M_tot ... 0.00 μB/atom
Space group ... Fm-3m (225)

The data favor (A); the next most stable structure lies 643 meV/atom above it.

(A)
A relaxed structure of BaTlFe3. Source: Alexandria via LeMat-Bulk, functional PBE.

```
5
Lattice="5.143 0.000 0.000 0.000 5.143 0.000 0.000 0.000 5.143" Properties=species:S:1:pos:R:3 pbc="T T T"
Ba 0.000 0.000 0.000
Tl 2.572 2.572 2.572
Fe 0.000 0.000 2.572
Fe 0.000 2.572 0.000
Fe 2.572 0.000 0.000
```

Results
Crystal system ... cubic
M_tot ... 1.69 μB/atom
Space group ... Pm-3m (221)

(B)
A relaxed structure of BaTlFe3. Source: Alexandria via LeMat-Bulk, functional PBE.

```
5
Lattice="5.107 0.000 0.000 0.000 5.107 0.000 0.000 0.000 5.107" Properties=species:S:1:pos:R:3 pbc="T T T"
Ba 0.000 0.000 0.000
Tl 2.554 2.554 2.554
Fe 0.000 2.554 2.554
Fe 2.554 0.000 2.554
Fe 2.554 2.554 0.000
```

Results
Crystal system ... cubic
M_tot ... 1.78 μB/atom
Space group ... Pm-3m (221)

The data favor (B); the next most stable structure lies 943 meV/atom above it.

(A)
A relaxed structure of BaTl3Fe. Source: Alexandria via LeMat-Bulk, functional PBE.

```
5
Lattice="6.442 0.000 0.000 0.000 6.442 0.000 0.000 0.000 6.442" Properties=species:S:1:pos:R:3 pbc="T T T"
Ba 0.000 0.000 0.000
Tl 0.000 0.000 3.221
Tl 0.000 3.221 0.000
Tl 3.221 0.000 0.000
Fe 3.221 3.221 3.221
```

Results
Crystal system ... cubic
M_tot ... 0.49 μB/atom
Space group ... Pm-3m (221)

(B)
A relaxed structure of BaTl3Fe. Source: Alexandria via LeMat-Bulk, functional PBE.

```
5
Lattice="5.271 0.000 0.000 0.000 5.271 0.000 0.000 0.000 5.271" Properties=species:S:1:pos:R:3 pbc="T T T"
Ba 0.000 0.000 0.000
Tl 0.000 2.635 2.635
Tl 2.635 0.000 2.635
Tl 2.635 2.635 0.000
Fe 2.635 2.635 2.635
```

Results
Crystal system ... cubic
M_tot ... 0.40 μB/atom
Space group ... Pm-3m (221)

The data favor (B); the next most stable structure lies 1370 meV/atom above it.

(A)
A relaxed structure of BaTlZn2Fe. Source: Alexandria via LeMat-Bulk, functional PBE.

```
5
Lattice="4.924 0.000 0.000 0.000 4.924 0.000 0.000 0.000 5.070" Properties=species:S:1:pos:R:3 pbc="T T T"
Ba 0.000 0.000 0.000
Tl 2.462 2.462 0.000
Zn 0.000 2.462 2.535
Zn 2.462 0.000 2.535
Fe 2.462 2.462 2.535
```

Results
Crystal system ... tetragonal
M_tot ... 0.20 μB/atom
Space group ... P4/mmm (123)

(B)
A relaxed structure of BaTlZn2Fe. Source: Alexandria via LeMat-Bulk, functional PBE.

```
5
Lattice="4.947 0.000 0.000 0.000 4.947 0.000 0.000 0.000 5.490" Properties=species:S:1:pos:R:3 pbc="T T T"
Ba 0.000 0.000 0.000
Tl 2.474 2.474 0.000
Zn 0.000 2.474 2.745
Zn 2.474 0.000 2.745
Fe 0.000 0.000 2.745
```

Results
Crystal system ... tetragonal
M_tot ... 0.28 μB/atom
Space group ... P4/mmm (123)

The data favor (A); the next most stable structure lies 341 meV/atom above it.

(A)
A relaxed structure of BaFeW2. Source: Alexandria via LeMat-Bulk, functional PBE.

```
4
Lattice="2.759 -5.285 0.000 2.759 5.285 0.000 -1.026 0.000 2.672" Properties=species:S:1:pos:R:3 pbc="T T T"
Ba 0.000 0.000 0.000
Fe 2.759 0.000 0.000
W 0.867 2.642 1.336
W 0.867 -2.642 1.336
```

Results
Crystal system ... monoclinic
M_tot ... 0.59 μB/atom
Space group ... C2/m (12)

(B)
A relaxed structure of BaFeW2. Source: Alexandria via LeMat-Bulk, functional PBE.

```
4
Lattice="0.000 3.280 3.280 3.280 0.000 3.280 3.280 3.280 0.000" Properties=species:S:1:pos:R:3 pbc="T T T"
Ba 0.000 0.000 0.000
Fe 3.280 3.280 3.280
W 1.640 1.640 1.640
W 4.921 4.921 4.921
```

Results
Crystal system ... cubic
M_tot ... 0.00 μB/atom
Space group ... Fm-3m (225)

(C)
A relaxed structure of BaFeW2. Source: Alexandria via LeMat-Bulk, functional PBE.

```
4
Lattice="-1.420 2.545 5.447 1.420 -2.545 5.447 1.420 2.545 -5.447" Properties=species:S:1:pos:R:3 pbc="T T T"
Ba 0.000 0.000 0.000
Fe 0.000 0.000 5.447
W 1.420 0.000 3.206
W 0.000 2.545 2.241
```

Results
Crystal system ... orthorhombic
M_tot ... 0.46 μB/atom
Space group ... Immm (71)

(D)
A relaxed structure of BaFeW2. Source: Alexandria via LeMat-Bulk, functional PBE.

```
4
Lattice="4.781 0.000 0.000 0.000 4.781 0.000 0.000 0.000 3.232" Properties=species:S:1:pos:R:3 pbc="T T T"
Ba 0.000 0.000 0.000
Fe 2.391 2.391 0.000
W 0.000 2.391 1.616
W 2.391 0.000 1.616
```

Results
Crystal system ... tetragonal
M_tot ... 0.50 μB/atom
Space group ... P4/mmm (123)

The data favor (C); the next most stable structure lies 274 meV/atom above it.

(A)
A relaxed structure of BaFeW2. Source: Alexandria via LeMat-Bulk, functional PBE.

```
8
Lattice="-2.553 2.553 8.105 2.553 -2.553 8.105 2.553 2.553 -8.105" Properties=species:S:1:pos:R:3 pbc="T T T"
Ba 2.553 1.277 2.026
Ba 0.000 1.277 6.079
Fe 2.553 -1.277 6.079
Fe 0.000 3.830 2.026
W 0.000 0.000 0.000
W 1.277 1.277 -4.053
W 1.277 -1.277 4.053
W 0.000 2.553 0.000
```

Results
Crystal system ... tetragonal
M_tot ... 0.00 μB/atom
Space group ... I4_1/amd (141)

(B)
A relaxed structure of BaFeW2. Source: Alexandria via LeMat-Bulk, functional PBE.

```
4
Lattice="1.487 0.859 10.179 -1.487 0.859 10.179 0.000 -1.717 10.179" Properties=species:S:1:pos:R:3 pbc="T T T"
Ba 0.000 0.000 0.000
Fe 0.000 0.000 15.269
W 0.000 0.000 7.054
W 0.000 0.000 23.484
```

Results
Crystal system ... trigonal
M_tot ... 0.53 μB/atom
Space group ... R-3m (166)

(C)
A relaxed structure of BaFeW2. Source: Alexandria via LeMat-Bulk, functional PBE.

```
4
Lattice="1.577 0.911 9.660 -1.577 0.911 9.660 0.000 -1.821 9.660" Properties=species:S:1:pos:R:3 pbc="T T T"
Ba 0.000 0.000 0.000
Fe 0.000 0.000 22.156
W 0.000 0.000 6.554
W 0.000 0.000 14.356
```

Results
Crystal system ... trigonal
M_tot ... 0.66 μB/atom
Space group ... R3m (160)

The data favor (C); the next most stable structure lies 148 meV/atom above it.

(A)
A relaxed structure of BaFeW2. Source: Alexandria via LeMat-Bulk, functional PBE.

```
4
Lattice="-1.948 1.948 5.247 1.948 -1.948 5.247 1.948 1.948 -5.247" Properties=species:S:1:pos:R:3 pbc="T T T"
Ba 0.000 0.000 0.000
Fe 0.000 0.000 5.247
W 1.948 0.000 2.624
W 0.000 1.948 2.624
```

Results
Crystal system ... tetragonal
M_tot ... 0.43 μB/atom
Space group ... I4/mmm (139)

(B)
A relaxed structure of BaFeW2. Source: Alexandria via LeMat-Bulk, functional PBE.

```
4
Lattice="3.278 0.000 0.000 0.000 3.278 0.000 0.000 0.000 7.845" Properties=species:S:1:pos:R:3 pbc="T T T"
Ba 0.000 0.000 0.000
Fe 0.000 0.000 3.923
W 1.639 1.639 2.738
W 1.639 1.639 5.107
```

Results
Crystal system ... tetragonal
M_tot ... 0.34 μB/atom
Space group ... P4/mmm (123)

(C)
A relaxed structure of BaFeW2. Source: Alexandria via LeMat-Bulk, functional PBE.

```
4
Lattice="-1.521 2.892 4.998 1.521 -2.892 4.998 1.521 2.892 -4.998" Properties=species:S:1:pos:R:3 pbc="T T T"
Ba 0.000 0.000 0.000
Fe 1.521 0.000 2.902
W 0.000 0.000 4.971
W 0.000 2.892 1.988
```

Results
Crystal system ... orthorhombic
M_tot ... 0.49 μB/atom
Space group ... Imm2 (44)

The data favor (B); the next most stable structure lies 471 meV/atom above it.